<A>
Entry from Alexandria: crystalline Tb4Nd2Y at its relaxed geometry (PBE).

Cell and atoms, written as CIF:
```
data_Tb4Nd2Y
_chemical_formula_sum 'Tb8 Nd4 Y2'
_cell_length_a 17.010
_cell_length_b 3.564
_cell_length_c 8.839
_cell_angle_alpha 90.00
_cell_angle_beta 119.88
_cell_angle_gamma 90.00
_space_group_name_H-M_alt 'C 1 2/m 1'
_space_group_IT_number 12
loop_
_space_group_symop_operation_xyz
'x,y,z'
'-x,-y,-z'
'-x,y,-z'
'x,-y,z'
'x+1/2,y+1/2,z'
'-x+1/2,-y+1/2,-z'
'-x+1/2,y+1/2,-z'
'x+1/2,-y+1/2,z'
loop_
_atom_site_label
_atom_site_fract_x
_atom_site_fract_y
_atom_site_fract_z
Tb1 0.145 0.000 0.346
Tb2 0.205 0.000 0.793
Nd1 0.070 0.500 0.931
Y1 0.000 0.500 0.500
```

***

<B>
Entry from Alexandria: crystalline Tb4Nd2Y at its relaxed geometry (PBE).

Cell and atoms, written as CIF:
```
data_Tb4Nd2Y
_chemical_formula_sum 'Tb12 Nd6 Y3'
_cell_length_a 3.5955
_cell_length_b 3.5955
_cell_length_c 61.5863
_cell_angle_alpha 90.00
_cell_angle_beta 90.00
_cell_angle_gamma 120.00
_space_group_name_H-M_alt 'R -3 m'
_space_group_IT_number 166
_space_group_name_Hall '-R 3 2"'
loop_
_atom_site_label
_atom_site_fract_x
_atom_site_fract_y
_atom_site_fract_z
Tb1 0.0000 0.0000 0.1433
Tb2 0.0000 0.0000 0.2863
Nd1 0.0000 0.0000 0.4285
Y1 0.0000 0.0000 0.0000
```

***

Relative energies with respect to the most stable structure, expressed in meV per atom: <A> 36; <B> 0.